Compound: Cs3TbNd2O6
Source: Alexandria via LeMat-Bulk
Functional: GGA-PBE
Structure: optimized geometry

* raw total energy: -6.4121 eV/atom

Geometry as CIF:
```
data_Cs3TbNd2O6
_cell_length_a 6.347
_cell_length_b 6.347
_cell_length_c 7.251
_cell_angle_alpha 98.38
_cell_angle_beta 98.38
_cell_angle_gamma 120.00
_space_group_name_H-M_alt 'P 1'
_space_group_IT_number 1
loop_
_space_group_symop_operation_xyz
'x,y,z'
loop_
_atom_site_label
_atom_site_type_symbol
_atom_site_fract_x
_atom_site_fract_y
_atom_site_fract_z
O1 O 0.619 0.944 0.832
O2 O 0.944 0.619 0.832
O3 O 0.269 0.269 0.832
O4 O 0.731 0.731 0.168
O5 O 0.056 0.381 0.168
O6 O 0.381 0.056 0.168
Cs1 Cs 0.834 0.166 0.500
Cs2 Cs 0.166 0.834 0.500
Cs3 Cs 0.500 0.500 0.500
Nd1 Nd 0.333 0.667 0.000
Nd2 Nd 0.667 0.333 0.000
Tb1 Tb 0.000 0.000 0.000
```